(1)
# PrIn5Pd7 | Alexandria | PBE | optimized geometry
data_PrIn5Pd7
_symmetry_space_group_name_H-M 'I m m 2'
_symmetry_Int_Tables_number 44
_cell_length_a 5.874
_cell_length_b 9.607
_cell_length_c 9.016
_cell_angle_alpha 90.00
_cell_angle_beta 90.00
_cell_angle_gamma 90.00
loop_
_symmetry_equiv_pos_as_xyz
'x,y,z'
'-x,-y,z'
'-x,y,z'
'x,-y,z'
'x+1/2,y+1/2,z+1/2'
'-x+1/2,-y+1/2,z+1/2'
'-x+1/2,y+1/2,z+1/2'
'x+1/2,-y+1/2,z+1/2'
loop_
_atom_site_label
_atom_site_fract_x
_atom_site_fract_y
_atom_site_fract_z
Pr1 0.000 0.000 0.000
In1 0.000 0.500 0.278
In2 0.246 0.264 0.743
Pd1 0.000 0.000 0.343
Pd2 0.000 0.000 0.666
Pd3 0.000 0.283 0.488
Pd4 0.000 0.344 0.001
Pd5 0.000 0.500 0.709
# **E_form**: -0.433 eV per atom
# **E**: -4.650 eV/atom

(2)
# ZnTcW | Alexandria | PBE | optimized geometry
data_ZnTcW
_symmetry_space_group_name_H-M 'C 1 2/m 1'
_symmetry_Int_Tables_number 12
_cell_length_a 9.279
_cell_length_b 4.431
_cell_length_c 5.310
_cell_angle_alpha 90.00
_cell_angle_beta 124.25
_cell_angle_gamma 90.00
loop_
_symmetry_equiv_pos_as_xyz
'x,y,z'
'-x,-y,-z'
'-x,y,-z'
'x,-y,z'
'x+1/2,y+1/2,z'
'-x+1/2,-y+1/2,-z'
'-x+1/2,y+1/2,-z'
'x+1/2,-y+1/2,z'
loop_
_atom_site_label
_atom_site_fract_x
_atom_site_fract_y
_atom_site_fract_z
Zn1 0.000 0.000 0.000
Zn2 0.000 0.000 0.500
Tc1 0.168 0.500 0.347
W1 0.162 0.500 0.852
# **E_form**: 0.111 eV per atom
# **E**: -8.086 eV/atom

(3)
# TmPaMoRh | Alexandria | PBE | optimized geometry
data_TmPaMoRh
_symmetry_space_group_name_H-M 'F -4 3 m'
_symmetry_Int_Tables_number 216
_symmetry_space_group_name_Hall 'F -4 2 3'
_cell_length_a 6.867
_cell_length_b 6.867
_cell_length_c 6.867
_cell_angle_alpha 90.00
_cell_angle_beta 90.00
_cell_angle_gamma 90.00
loop_
_atom_site_label
_atom_site_fract_x
_atom_site_fract_y
_atom_site_fract_z
Tm1 0.000 0.000 0.000
Pa1 0.000 0.000 0.500
Mo1 0.250 0.250 0.750
Rh1 0.250 0.250 0.250
# **E_form**: -0.280 eV per atom
# **E**: -8.318 eV/atom

(4)
# La3Er3Tm | Alexandria | PBE | optimized geometry
data_La3Er3Tm
_symmetry_space_group_name_H-M 'R -3'
_symmetry_Int_Tables_number 148
_symmetry_space_group_name_Hall '-R 3'
_cell_length_a 9.4141
_cell_length_b 9.4141
_cell_length_c 18.6759
_cell_angle_alpha 90.00
_cell_angle_beta 90.00
_cell_angle_gamma 120.00
loop_
_atom_site_label
_atom_site_fract_x
_atom_site_fract_y
_atom_site_fract_z
La1 0.0526 0.2447 0.0779
Er1 0.0515 0.2349 0.2611
Tm1 0.0000 0.0000 0.4086
# **E_form**: 0.139 eV per atom
# **E**: -4.567 eV/atom

(5)
# LiRe2C | Alexandria | PBE | optimized geometry
data_LiRe2C
_symmetry_space_group_name_H-M 'I -4 2 d'
_symmetry_Int_Tables_number 122
_symmetry_space_group_name_Hall 'I -4 2bw'
_cell_length_a 4.826
_cell_length_b 4.826
_cell_length_c 12.045
_cell_angle_alpha 90.00
_cell_angle_beta 90.00
_cell_angle_gamma 90.00
loop_
_atom_site_label
_atom_site_fract_x
_atom_site_fract_y
_atom_site_fract_z
Li1 0.000 0.000 0.000
Re1 0.094 0.250 0.625
C1 0.000 0.000 0.500
# **E_form**: 1.344 eV per atom
# **E**: -7.665 eV/atom

(6)
# Tc2RhF | Alexandria | PBE | optimized geometry
data_Tc2RhF
_symmetry_space_group_name_H-M 'F m -3 m'
_symmetry_Int_Tables_number 225
_symmetry_space_group_name_Hall '-F 4 2 3'
_cell_length_a 6.007
_cell_length_b 6.007
_cell_length_c 6.007
_cell_angle_alpha 90.00
_cell_angle_beta 90.00
_cell_angle_gamma 90.00
loop_
_atom_site_label
_atom_site_fract_x
_atom_site_fract_y
_atom_site_fract_z
Tc1 0.250 0.250 0.250
Rh1 0.000 0.000 0.000
F1 0.000 0.000 0.500
# **E**: -7.255 eV/atom

(7)
# PmHoO | Alexandria | PBE | optimized geometry
data_PmHoO
_symmetry_space_group_name_H-M 'P 3 m 1'
_symmetry_Int_Tables_number 156
_cell_length_a 3.5574
_cell_length_b 3.5574
_cell_length_c 5.9297
_cell_angle_alpha 90.00
_cell_angle_beta 90.00
_cell_angle_gamma 120.00
loop_
_symmetry_equiv_pos_as_xyz
'x,y,z'
'-y,x-y,z'
'-x+y,-x,z'
'-y,-x,z'
'-x+y,y,z'
'x,x-y,z'
loop_
_atom_site_label
_atom_site_fract_x
_atom_site_fract_y
_atom_site_fract_z
Pm1 0.0000 0.0000 0.0000
Ho1 0.6667 0.3333 0.5350
O1 0.3333 0.6667 0.7350
# **E**: -6.522 eV/atom

(8)
# ThSiHAu | Alexandria | PBE | optimized geometry
data_ThSiHAu
_symmetry_space_group_name_H-M 'P 3 m 1'
_symmetry_Int_Tables_number 156
_cell_length_a 4.2932
_cell_length_b 4.2932
_cell_length_c 4.2980
_cell_angle_alpha 90.00
_cell_angle_beta 90.00
_cell_angle_gamma 120.00
loop_
_symmetry_equiv_pos_as_xyz
'x,y,z'
'-y,x-y,z'
'-x+y,-x,z'
'-y,-x,z'
'-x+y,y,z'
'x,x-y,z'
loop_
_atom_site_label
_atom_site_fract_x
_atom_site_fract_y
_atom_site_fract_z
Th1 0.0000 0.0000 0.0000
Si1 0.6667 0.3333 0.5327
H1 0.3333 0.6667 0.0288
Au1 0.3333 0.6667 0.4896
# **E**: -5.473 eV/atom

(9)
# ZnGaBPd2 | Alexandria | PBE | optimized geometry
data_ZnGaBPd2
_symmetry_space_group_name_H-M 'P 4/m m m'
_symmetry_Int_Tables_number 123
_symmetry_space_group_name_Hall '-P 4 2'
_cell_length_a 4.742
_cell_length_b 4.742
_cell_length_c 3.775
_cell_angle_alpha 90.00
_cell_angle_beta 90.00
_cell_angle_gamma 90.00
loop_
_atom_site_label
_atom_site_fract_x
_atom_site_fract_y
_atom_site_fract_z
Zn1 0.000 0.000 0.000
Ga1 0.500 0.500 0.500
B1 0.000 0.000 0.500
Pd1 0.000 0.500 0.000
# **E_form**: 0.684 eV per atom
# **E**: -3.588 eV/atom

(10)
# Cs4K2InSn2 | Alexandria | PBE | optimized geometry
data_Cs4K2InSn2
_symmetry_space_group_name_H-M 'C 1 2/m 1'
_symmetry_Int_Tables_number 12
_cell_length_a 16.756
_cell_length_b 8.682
_cell_length_c 7.249
_cell_angle_alpha 90.00
_cell_angle_beta 110.27
_cell_angle_gamma 90.00
loop_
_symmetry_equiv_pos_as_xyz
'x,y,z'
'-x,-y,-z'
'-x,y,-z'
'x,-y,z'
'x+1/2,y+1/2,z'
'-x+1/2,-y+1/2,-z'
'-x+1/2,y+1/2,-z'
'x+1/2,-y+1/2,z'
loop_
_atom_site_label
_atom_site_fract_x
_atom_site_fract_y
_atom_site_fract_z
Cs1 0.132 0.234 0.218
K1 0.138 0.500 0.753
In1 0.000 0.000 0.500
Sn1 0.168 0.000 0.750
# **E_form**: -0.065 eV per atom
# **E**: -1.882 eV/atom

(11)
# MnPb3Se | Alexandria | PBE | optimized geometry
data_MnPb3Se
_symmetry_space_group_name_H-M 'P m -3 m'
_symmetry_Int_Tables_number 221
_symmetry_space_group_name_Hall '-P 4 2 3'
_cell_length_a 5.137
_cell_length_b 5.137
_cell_length_c 5.137
_cell_angle_alpha 90.00
_cell_angle_beta 90.00
_cell_angle_gamma 90.00
loop_
_atom_site_label
_atom_site_fract_x
_atom_site_fract_y
_atom_site_fract_z
Mn1 0.000 0.000 0.000
Pb1 0.000 0.000 0.500
Se1 0.500 0.500 0.500
# **E**: -4.560 eV/atom

(12)
# NbCu3Au | Alexandria | PBE | optimized geometry
data_NbCu3Au
_symmetry_space_group_name_H-M 'P m -3 m'
_symmetry_Int_Tables_number 221
_symmetry_space_group_name_Hall '-P 4 2 3'
_cell_length_a 4.671
_cell_length_b 4.671
_cell_length_c 4.671
_cell_angle_alpha 90.00
_cell_angle_beta 90.00
_cell_angle_gamma 90.00
loop_
_atom_site_label
_atom_site_fract_x
_atom_site_fract_y
_atom_site_fract_z
Nb1 0.000 0.000 0.000
Cu1 0.000 0.500 0.500
Au1 0.500 0.500 0.500
# **E_form**: 1.158 eV per atom
# **E**: -3.969 eV/atom

(13)
# Mg2UTl2S6 | Alexandria | PBE | optimized geometry
data_Mg2UTl2S6
_symmetry_space_group_name_H-M 'C 1 2/m 1'
_symmetry_Int_Tables_number 12
_cell_length_a 6.529
_cell_length_b 11.338
_cell_length_c 7.919
_cell_angle_alpha 90.00
_cell_angle_beta 106.31
_cell_angle_gamma 90.00
loop_
_symmetry_equiv_pos_as_xyz
'x,y,z'
'-x,-y,-z'
'-x,y,-z'
'x,-y,z'
'x+1/2,y+1/2,z'
'-x+1/2,-y+1/2,-z'
'-x+1/2,y+1/2,-z'
'x+1/2,-y+1/2,z'
loop_
_atom_site_label
_atom_site_fract_x
_atom_site_fract_y
_atom_site_fract_z
Mg1 0.000 0.169 0.000
U1 0.000 0.500 0.000
Tl1 0.000 0.332 0.500
S1 0.227 0.338 0.190
S2 0.240 0.000 0.191
# **E**: -5.048 eV/atom

(14)
# Sc3HgO | Alexandria | PBE | optimized geometry
data_Sc3HgO
_symmetry_space_group_name_H-M 'C 1 2/m 1'
_symmetry_Int_Tables_number 12
_cell_length_a 6.013
_cell_length_b 10.603
_cell_length_c 6.057
_cell_angle_alpha 90.00
_cell_angle_beta 102.60
_cell_angle_gamma 90.00
loop_
_symmetry_equiv_pos_as_xyz
'x,y,z'
'-x,-y,-z'
'-x,y,-z'
'x,-y,z'
'x+1/2,y+1/2,z'
'-x+1/2,-y+1/2,-z'
'-x+1/2,y+1/2,-z'
'x+1/2,-y+1/2,z'
loop_
_atom_site_label
_atom_site_fract_x
_atom_site_fract_y
_atom_site_fract_z
Sc1 0.000 0.000 0.000
Sc2 0.000 0.500 0.500
Sc3 0.221 0.232 0.748
Hg1 0.000 0.000 0.500
Hg2 0.000 0.500 0.000
O1 0.000 0.199 0.000
# **E**: -6.207 eV/atom

(15)
# PmNd6Er3 | Alexandria | PBE | optimized geometry
data_PmNd6Er3
_symmetry_space_group_name_H-M 'C m c 21'
_symmetry_Int_Tables_number 36
_cell_length_a 9.829
_cell_length_b 21.439
_cell_length_c 6.478
_cell_angle_alpha 90.00
_cell_angle_beta 90.00
_cell_angle_gamma 90.00
loop_
_symmetry_equiv_pos_as_xyz
'x,y,z'
'-x,-y,z+1/2'
'-x,y,z'
'x,-y,z+1/2'
'x+1/2,y+1/2,z'
'-x+1/2,-y+1/2,z+1/2'
'-x+1/2,y+1/2,z'
'x+1/2,-y+1/2,z+1/2'
loop_
_atom_site_label
_atom_site_fract_x
_atom_site_fract_y
_atom_site_fract_z
Pm1 0.000 0.157 0.000
Nd1 0.000 0.015 0.212
Nd2 0.000 0.300 0.208
Nd3 0.174 0.281 0.684
Nd4 0.179 0.441 0.433
Er1 0.000 0.419 0.913
Er2 0.168 0.126 0.522
# **E_form**: 0.126 eV per atom
# **E**: -4.578 eV/atom

(16)
# Cs3Ge2P4 | Alexandria | PBE | optimized geometry
data_Cs3Ge2P4
_symmetry_space_group_name_H-M 'C 1 2/m 1'
_symmetry_Int_Tables_number 12
_cell_length_a 16.759
_cell_length_b 4.793
_cell_length_c 8.047
_cell_angle_alpha 90.00
_cell_angle_beta 113.01
_cell_angle_gamma 90.00
loop_
_symmetry_equiv_pos_as_xyz
'x,y,z'
'-x,-y,-z'
'-x,y,-z'
'x,-y,z'
'x+1/2,y+1/2,z'
'-x+1/2,-y+1/2,-z'
'-x+1/2,y+1/2,-z'
'x+1/2,-y+1/2,z'
loop_
_atom_site_label
_atom_site_fract_x
_atom_site_fract_y
_atom_site_fract_z
Cs1 0.000 0.000 0.000
Cs2 0.150 0.000 0.747
Ge1 0.173 0.500 0.412
P1 0.018 0.500 0.385
P2 0.201 0.000 0.315
# **E_form**: -0.190 eV per atom
# **E**: -3.905 eV/atom

(17)
# LiLa2 | Alexandria | PBE | optimized geometry
data_LiLa2
_symmetry_space_group_name_H-M 'I 4/m m m'
_symmetry_Int_Tables_number 139
_symmetry_space_group_name_Hall '-I 4 2'
_cell_length_a 3.773
_cell_length_b 3.773
_cell_length_c 13.187
_cell_angle_alpha 90.00
_cell_angle_beta 90.00
_cell_angle_gamma 90.00
loop_
_atom_site_label
_atom_site_fract_x
_atom_site_fract_y
_atom_site_fract_z
Li1 0.000 0.000 0.000
La1 0.000 0.000 0.342
# **E_form**: 0.063 eV per atom
# **E**: -3.860 eV/atom

(18)
# SmUSe2 | Alexandria | PBE | optimized geometry
data_SmUSe2
_symmetry_space_group_name_H-M 'P m m a'
_symmetry_Int_Tables_number 51
_cell_length_a 7.569
_cell_length_b 3.909
_cell_length_c 6.883
_cell_angle_alpha 90.00
_cell_angle_beta 90.00
_cell_angle_gamma 90.00
loop_
_symmetry_equiv_pos_as_xyz
'x,y,z'
'-x,-y,-z'
'-x+1/2,-y,z'
'x+1/2,y,-z'
'x+1/2,-y,-z'
'-x+1/2,y,z'
'-x,y,-z'
'x,-y,z'
loop_
_atom_site_label
_atom_site_fract_x
_atom_site_fract_y
_atom_site_fract_z
Sm1 0.000 0.000 0.000
U1 0.000 0.500 0.500
Se1 0.250 0.000 0.335
Se2 0.250 0.500 0.826
# **E**: -7.002 eV/atom

(19)
# LaEr2As3 | Alexandria | PBE | optimized geometry
data_LaEr2As3
_symmetry_space_group_name_H-M 'I m m m'
_symmetry_Int_Tables_number 71
_symmetry_space_group_name_Hall '-I 2 2'
_cell_length_a 4.181
_cell_length_b 5.936
_cell_length_c 12.537
_cell_angle_alpha 90.00
_cell_angle_beta 90.00
_cell_angle_gamma 90.00
loop_
_atom_site_label
_atom_site_fract_x
_atom_site_fract_y
_atom_site_fract_z
La1 0.000 0.000 0.000
Er1 0.000 0.000 0.334
As1 0.000 0.500 0.000
As2 0.000 0.500 0.325
# **E_form**: -1.511 eV per atom
# **E**: -6.178 eV/atom

(20)
# Cu10AsPd6 | Alexandria | PBE | optimized geometry
data_Cu10AsPd6
_symmetry_space_group_name_H-M 'P -3 1 m'
_symmetry_Int_Tables_number 162
_symmetry_space_group_name_Hall '-P 3 2'
_cell_length_a 7.4358
_cell_length_b 7.4358
_cell_length_c 5.0054
_cell_angle_alpha 90.00
_cell_angle_beta 90.00
_cell_angle_gamma 120.00
loop_
_atom_site_label
_atom_site_fract_x
_atom_site_fract_y
_atom_site_fract_z
Cu1 0.0000 0.2696 0.2940
Cu2 0.3333 0.6667 0.0000
Cu3 0.3333 0.6667 0.5000
As1 0.0000 0.0000 0.0000
Pd1 0.0000 0.3851 0.7736
# **E_form**: -0.002 eV per atom
# **E**: -4.518 eV/atom

| no. | magnetization (μB/f.u.) |
| --- | --- |
| 1 | 0.0 |
| 2 | 0.0 |
| 3 | 0.0 |
| 4 | 0.0 |
| 5 | 0.0 |
| 6 | 0.0 |
| 7 | 0.0 |
| 8 | 0.0 |
| 9 | 0.0 |
| 10 | 0.6 |
| 11 | 1.0 |
| 12 | 3.1 |
| 13 | 0.0 |
| 14 | 0.0 |
| 15 | 0.0 |
| 16 | 0.8 |
| 17 | 0.0 |
| 18 | 3.5 |
| 19 | 0.0 |
| 20 | 0.0 |